# 1
Computed, not measured: an optimized crystal structure of DyZn2Ir2 at the PBE level of DFT.

Energy = -0.1989 Ha/atom
SG = No. 139
Formation enthalpy at 0 K = -0.44 eV per atom

```
DyZn2Ir2
1.0
-1.977 1.977 11.366
1.977 -1.977 11.366
1.977 1.977 -11.366
Dy Zn Ir
2 4 4
Cartesian
0.000 0.000 2.935 Dy
0.000 0.000 19.798 Dy
1.977 0.000 0.000 Zn
0.000 0.000 7.294 Zn
0.000 1.977 0.000 Zn
0.000 0.000 15.439 Zn
1.977 0.000 5.683 Ir
0.000 0.000 9.759 Ir
0.000 0.000 12.973 Ir
0.000 1.977 5.683 Ir
```


# 2
Computed, not measured: an optimized crystal structure of Rb2Tl3TeSe6 at the PBE level of DFT.

Uncorrected formation energy = -4.9 eV per formula unit
Energy = -0.1162 Ha/atom
SG = No. 12

```
Rb2Tl3TeSe6
1.0
4.121 -7.431 0.000
4.121 7.431 0.000
-3.377 0.000 6.482
Rb Tl Te Se
2 3 1 6
Cartesian
4.121 4.775 0.000 Rb
4.121 -4.775 0.000 Rb
-1.689 0.000 3.241 Tl
2.432 2.120 3.241 Tl
2.432 -2.120 3.241 Tl
4.121 0.000 0.000 Te
-0.384 1.964 4.727 Se
1.648 0.000 1.357 Se
-0.384 -1.964 4.727 Se
5.247 1.964 1.755 Se
3.216 0.000 5.125 Se
5.247 -1.964 1.755 Se
```


# 3
Computed, not measured: an optimized crystal structure of AlFeHCl2 at the PBE level of DFT.

Energy = -0.1295 Ha/atom
SG = No. 123

```
AlFeHCl2
1.0
4.446 0.000 0.000
0.000 4.446 0.000
0.000 0.000 5.302
Al Fe H Cl
1 1 1 2
Cartesian
0.000 0.000 0.000 Al
0.000 0.000 2.651 Fe
2.223 2.223 0.000 H
0.000 2.223 2.651 Cl
2.223 0.000 2.651 Cl
```